# Na4LiBr5

Na4LiBr5 after structural relaxation (GGA-PBE, the Alexandria database).

a = 7.270 Å, b = 7.270 Å, c = 10.295 Å
α = 118.19°, β = 118.19°, γ = 33.42°
Fractional positions:
Na1 0.102 0.102 0.400
Na2 0.302 0.302 0.195
Na3 0.698 0.698 0.805
Na4 0.898 0.898 0.600
Li1 0.500 0.500 0.000
Br1 0.093 0.093 0.907
Br2 0.304 0.304 0.710
Br3 0.500 0.500 0.500
Br4 0.696 0.696 0.290
Br5 0.907 0.907 0.093

M_tot   0.00 Bohr magnetons per cell
Raw formation energy   -15.44 eV per formula unit
SG   C2/m (12)
Theoretical density   3.17 g/cm3
Electronic total energy   -3.099 eV/atom

# Na3Li5Br8

Na3Li5Br8 after structural relaxation (GGA-PBE, the Alexandria database).

a = 8.096 Å, b = 8.096 Å, c = 8.096 Å
α = 59.71°, β = 59.71°, γ = 59.71°
Fractional positions:
Na1 0.000 0.500 0.500
Na2 0.500 0.000 0.500
Na3 0.500 0.500 0.000
Li1 0.000 0.000 0.000
Li2 0.000 0.000 0.500
Li3 0.000 0.500 0.000
Li4 0.500 0.000 0.000
Li5 0.500 0.500 0.500
Br1 0.236 0.750 0.750
Br2 0.243 0.243 0.243
Br3 0.250 0.250 0.764
Br4 0.250 0.764 0.250
Br5 0.750 0.236 0.750
Br6 0.750 0.750 0.236
Br7 0.757 0.757 0.757
Br8 0.764 0.250 0.250

M_tot   0.00 Bohr magnetons per cell
Raw formation energy   -24.36 eV per formula unit
SG   R-3m (166)
Theoretical density   3.31 g/cm3
Electronic total energy   -3.204 eV/atom

# Na3Li2Br6

Na3Li2Br6 after structural relaxation (GGA-PBE, the Alexandria database).

a = 19.088 Å, b = 19.088 Å, c = 19.088 Å
α = 12.56°, β = 12.56°, γ = 12.56°
Fractional positions:
Na1 0.000 0.000 0.000
Na2 0.271 0.271 0.271
Na3 0.729 0.729 0.729
Li1 0.456 0.456 0.456
Li2 0.544 0.544 0.544
Br1 0.093 0.093 0.093
Br2 0.190 0.190 0.190
Br3 0.364 0.364 0.364
Br4 0.636 0.636 0.636
Br5 0.810 0.810 0.810
Br6 0.907 0.907 0.907

M_tot   1.00 Bohr magnetons per cell
Raw formation energy   -14.38 eV per formula unit
SG   R-3m (166)
Theoretical density   3.26 g/cm3
Electronic total energy   -2.928 eV/atom

# Na3LiBr

Na3LiBr after structural relaxation (GGA-PBE, the Alexandria database).

a = 5.734 Å, b = 5.734 Å, c = 5.734 Å
α = 90.00°, β = 90.00°, γ = 90.00°
Fractional positions:
Na1 0.000 0.000 0.500
Na2 0.000 0.500 0.000
Na3 0.500 0.000 0.000
Li1 0.500 0.500 0.500
Br1 0.000 0.000 0.000

M_tot   0.00 Bohr magnetons per cell
Raw formation energy   -1.92 eV per formula unit
SG   Pm-3m (221)
Theoretical density   1.37 g/cm3
Offset from the most stable computed form   0.0 meV/atom
Electronic total energy   -1.893 eV/atom

# NaLiBr

NaLiBr after structural relaxation (GGA-PBE, the Alexandria database).

a = 4.283 Å, b = 4.283 Å, c = 12.926 Å
α = 99.49°, β = 99.49°, γ = 60.12°
Fractional positions:
Na1 0.000 0.000 0.000
Na2 0.600 0.600 0.801
Li1 0.162 0.162 0.489
Li2 0.438 0.438 0.314
Br1 0.092 0.092 0.278
Br2 0.508 0.508 0.524

M_tot   0.00 Bohr magnetons per cell
Raw formation energy   -2.83 eV per formula unit
SG   Cm (8)
Theoretical density   1.81 g/cm3
Offset from the most stable computed form   0.0 meV/atom
Electronic total energy   -2.578 eV/atom

# NaLi3Br4

NaLi3Br4 after structural relaxation (GGA-PBE, the Alexandria database).

a = 5.670 Å, b = 5.670 Å, c = 5.670 Å
α = 90.00°, β = 90.00°, γ = 90.00°
Fractional positions:
Na1 0.000 0.000 0.000
Li1 0.000 0.500 0.500
Li2 0.500 0.000 0.500
Li3 0.500 0.500 0.000
Br1 0.000 0.000 0.500
Br2 0.000 0.500 0.000
Br3 0.500 0.000 0.000
Br4 0.500 0.500 0.500

M_tot   0.00 Bohr magnetons per cell
Raw formation energy   -12.06 eV per formula unit
SG   Pm-3m (221)
Theoretical density   3.31 g/cm3
Offset from the most stable computed form   7.2 meV/atom
Electronic total energy   -3.226 eV/atom

# NaLiNbBr6

NaLiNbBr6 after structural relaxation (GGA-PBE, the Alexandria database).

a = 6.883 Å, b = 6.883 Å, c = 13.084 Å
α = 90.00°, β = 90.00°, γ = 120.00°
Fractional positions:
Na1 0.000 0.000 0.000
Na2 0.000 0.000 0.500
Li1 0.333 0.667 0.250
Li2 0.667 0.333 0.750
Nb1 0.333 0.667 0.750
Nb2 0.667 0.333 0.250
Br1 0.016 0.367 0.636
Br2 0.016 0.649 0.864
Br3 0.351 0.367 0.864
Br4 0.351 0.984 0.636
Br5 0.367 0.016 0.136
Br6 0.367 0.351 0.364
Br7 0.633 0.649 0.636
Br8 0.633 0.984 0.864
Br9 0.649 0.016 0.364
Br10 0.649 0.633 0.136
Br11 0.984 0.351 0.136
Br12 0.984 0.633 0.364

M_tot   2.00 Bohr magnetons per cell
Raw formation energy   -10.17 eV per formula unit
SG   P-31c (163)
Theoretical density   3.73 g/cm3
Electronic total energy   -3.723 eV/atom

# Na2LiNdBr6

Na2LiNdBr6 after structural relaxation (GGA-PBE, the Alexandria database).

a = 7.859 Å, b = 7.859 Å, c = 7.859 Å
α = 56.01°, β = 56.01°, γ = 56.01°
Fractional positions:
Na1 0.000 0.000 0.000
Na2 0.497 0.497 0.497
Li1 0.293 0.293 0.293
Nd1 0.802 0.802 0.802
Br1 0.077 0.416 0.682
Br2 0.191 0.921 0.571
Br3 0.416 0.682 0.077
Br4 0.571 0.191 0.921
Br5 0.682 0.077 0.416
Br6 0.921 0.571 0.191

M_tot   0.00 Bohr magnetons per cell
Raw formation energy   -16.64 eV per formula unit
SG   R3 (146)
Theoretical density   3.61 g/cm3
Electronic total energy   -3.599 eV/atom

# NaLi2NdBr6

NaLi2NdBr6 after structural relaxation (GGA-PBE, the Alexandria database).

a = 7.748 Å, b = 7.748 Å, c = 7.748 Å
α = 55.26°, β = 55.26°, γ = 55.26°
Fractional positions:
Na1 0.000 0.000 0.000
Li1 0.299 0.299 0.299
Li2 0.800 0.800 0.800
Nd1 0.493 0.493 0.493
Br1 0.071 0.683 0.432
Br2 0.200 0.570 0.914
Br3 0.432 0.071 0.683
Br4 0.570 0.914 0.200
Br5 0.683 0.432 0.071
Br6 0.914 0.200 0.570

M_tot   0.00 Bohr magnetons per cell
Raw formation energy   -16.56 eV per formula unit
SG   R3 (146)
Theoretical density   3.75 g/cm3
Electronic total energy   -3.651 eV/atom

# NaLi2NpBr8

NaLi2NpBr8 after structural relaxation (GGA-PBE, the Alexandria database).

a = 6.877 Å, b = 7.398 Å, c = 8.982 Å
α = 70.84°, β = 88.28°, γ = 76.90°
Fractional positions:
Na1 0.000 0.000 0.000
Li1 0.465 0.363 0.164
Li2 0.535 0.637 0.836
Np1 0.000 0.000 0.500
Br1 0.130 0.220 0.223
Br2 0.136 0.202 0.655
Br3 0.355 0.736 0.555
Br4 0.378 0.727 0.061
Br5 0.622 0.273 0.939
Br6 0.645 0.264 0.445
Br7 0.864 0.798 0.345
Br8 0.870 0.780 0.777

M_tot   2.00 Bohr magnetons per cell
Raw formation energy   -15.25 eV per formula unit
SG   P-1 (2)
Theoretical density   3.61 g/cm3
Electronic total energy   -3.893 eV/atom

# NaLi2NpBr6

NaLi2NpBr6 after structural relaxation (GGA-PBE, the Alexandria database).

a = 7.781 Å, b = 7.781 Å, c = 7.781 Å
α = 54.72°, β = 54.72°, γ = 54.72°
Fractional positions:
Na1 0.000 0.000 0.000
Li1 0.198 0.198 0.198
Li2 0.699 0.699 0.699
Np1 0.508 0.508 0.508
Br1 0.087 0.429 0.796
Br2 0.316 0.927 0.568
Br3 0.429 0.796 0.087
Br4 0.568 0.316 0.927
Br5 0.796 0.087 0.429
Br6 0.927 0.568 0.316

M_tot   4.00 Bohr magnetons per cell
Raw formation energy   -14.32 eV per formula unit
SG   R3 (146)
Theoretical density   4.28 g/cm3
Electronic total energy   -4.244 eV/atom

# NaLi2BrO

NaLi2BrO after structural relaxation (GGA-PBE, the Alexandria database).

a = 4.013 Å, b = 4.013 Å, c = 4.739 Å
α = 90.00°, β = 90.00°, γ = 90.00°
Fractional positions:
Na1 0.000 0.000 0.000
Li1 0.000 0.500 0.500
Li2 0.500 0.000 0.500
Br1 0.500 0.500 0.000
O1 0.000 0.000 0.500

M_tot   0.01 Bohr magnetons per cell
Raw formation energy   -7.79 eV per formula unit
SG   P4/mmm (123)
Theoretical density   2.89 g/cm3
Electronic total energy   -3.915 eV/atom

# NaLi2PaBr8

NaLi2PaBr8 after structural relaxation (GGA-PBE, the Alexandria database).

a = 6.970 Å, b = 7.387 Å, c = 9.090 Å
α = 70.82°, β = 87.83°, γ = 76.63°
Fractional positions:
Na1 0.000 0.000 0.000
Li1 0.465 0.367 0.163
Li2 0.535 0.633 0.837
Pa1 0.000 0.000 0.500
Br1 0.123 0.209 0.656
Br2 0.129 0.225 0.225
Br3 0.360 0.741 0.557
Br4 0.374 0.731 0.054
Br5 0.626 0.269 0.946
Br6 0.640 0.259 0.443
Br7 0.871 0.775 0.775
Br8 0.877 0.791 0.344

M_tot   0.00 Bohr magnetons per cell
Raw formation energy   -17.47 eV per formula unit
SG   P-1 (2)
Theoretical density   3.51 g/cm3
Electronic total energy   -3.791 eV/atom

# Na2LiPbBr5

Na2LiPbBr5 after structural relaxation (GGA-PBE, the Alexandria database).

a = 9.881 Å, b = 9.881 Å, c = 13.847 Å
α = 90.00°, β = 90.00°, γ = 155.18°
Fractional positions:
Na1 0.059 0.941 0.500
Na2 0.110 0.890 0.196
Na3 0.890 0.110 0.696
Na4 0.941 0.059 0.000
Li1 0.424 0.576 0.275
Li2 0.576 0.424 0.775
Pb1 0.216 0.784 0.909
Pb2 0.784 0.216 0.409
Br1 0.060 0.940 0.873
Br2 0.292 0.708 0.254
Br3 0.304 0.696 0.565
Br4 0.374 0.626 0.872
Br5 0.497 0.503 0.128
Br6 0.503 0.497 0.628
Br7 0.626 0.374 0.372
Br8 0.696 0.304 0.065
Br9 0.708 0.292 0.754
Br10 0.940 0.060 0.373

M_tot   0.00 Bohr magnetons per cell
Raw formation energy   -11.75 eV per formula unit
SG   Cmc2_1 (36)
Theoretical density   3.86 g/cm3
Electronic total energy   -3.153 eV/atom

# Na2LiPbBr6

Na2LiPbBr6 after structural relaxation (GGA-PBE, the Alexandria database).

a = 10.647 Å, b = 10.647 Å, c = 6.536 Å
α = 91.86°, β = 91.86°, γ = 91.54°
Fractional positions:
Na1 0.118 0.349 0.405
Na2 0.349 0.118 0.905
Na3 0.651 0.882 0.095
Na4 0.882 0.651 0.595
Li1 0.311 0.689 0.250
Li2 0.689 0.311 0.750
Pb1 0.410 0.590 0.750
Pb2 0.590 0.410 0.250
Br1 0.125 0.129 0.651
Br2 0.129 0.125 0.151
Br3 0.162 0.621 0.534
Br4 0.308 0.454 0.101
Br5 0.379 0.838 0.966
Br6 0.454 0.308 0.601
Br7 0.546 0.692 0.399
Br8 0.621 0.162 0.034
Br9 0.692 0.546 0.899
Br10 0.838 0.379 0.466
Br11 0.871 0.875 0.849
Br12 0.875 0.871 0.349

M_tot   0.40 Bohr magnetons per cell
Raw formation energy   -10.86 eV per formula unit
SG   C2/c (15)
Theoretical density   3.32 g/cm3
Electronic total energy   -2.915 eV/atom

# NaLiPm2Br8

NaLiPm2Br8 after structural relaxation (GGA-PBE, the Alexandria database).

a = 6.956 Å, b = 8.647 Å, c = 6.978 Å
α = 90.00°, β = 95.58°, γ = 90.00°
Fractional positions:
Na1 0.000 0.000 0.000
Li1 0.000 0.500 0.000
Pm1 0.500 0.253 0.500
Pm2 0.500 0.747 0.500
Br1 0.199 0.266 0.193
Br2 0.199 0.734 0.193
Br3 0.305 0.500 0.689
Br4 0.309 0.000 0.684
Br5 0.691 0.000 0.316
Br6 0.695 0.500 0.311
Br7 0.801 0.266 0.807
Br8 0.801 0.734 0.807

M_tot   0.00 Bohr magnetons per cell
Raw formation energy   -20.85 eV per formula unit
SG   P2/m (10)
Theoretical density   3.81 g/cm3
Electronic total energy   -3.914 eV/atom

# NaLi2PmBr6

NaLi2PmBr6 after structural relaxation (GGA-PBE, the Alexandria database).

a = 7.740 Å, b = 7.740 Å, c = 7.740 Å
α = 55.14°, β = 55.14°, γ = 55.14°
Fractional positions:
Na1 0.000 0.000 0.000
Li1 0.299 0.299 0.299
Li2 0.801 0.801 0.801
Pm1 0.492 0.492 0.492
Br1 0.072 0.684 0.431
Br2 0.203 0.570 0.911
Br3 0.431 0.072 0.684
Br4 0.570 0.911 0.203
Br5 0.684 0.431 0.072
Br6 0.911 0.203 0.570

M_tot   0.00 Bohr magnetons per cell
Raw formation energy   -16.58 eV per formula unit
SG   R3 (146)
Theoretical density   3.78 g/cm3
Electronic total energy   -3.652 eV/atom

# NaLi2PrBr6

NaLi2PrBr6 after structural relaxation (GGA-PBE, the Alexandria database).

a = 7.757 Å, b = 7.757 Å, c = 7.757 Å
α = 55.37°, β = 55.37°, γ = 55.37°
Fractional positions:
Na1 0.000 0.000 0.000
Li1 0.299 0.299 0.299
Li2 0.799 0.799 0.799
Pr1 0.494 0.494 0.494
Br1 0.070 0.682 0.432
Br2 0.196 0.570 0.917
Br3 0.432 0.070 0.682
Br4 0.570 0.917 0.196
Br5 0.682 0.432 0.070
Br6 0.917 0.196 0.570

M_tot   0.00 Bohr magnetons per cell
Raw formation energy   -16.55 eV per formula unit
SG   R3 (146)
Theoretical density   3.71 g/cm3
Electronic total energy   -3.652 eV/atom

# Na2LiPrBr6

Na2LiPrBr6 after structural relaxation (GGA-PBE, the Alexandria database).

a = 7.881 Å, b = 7.881 Å, c = 7.881 Å
α = 55.99°, β = 55.99°, γ = 55.99°
Fractional positions:
Na1 0.000 0.000 0.000
Na2 0.497 0.497 0.497
Li1 0.294 0.294 0.294
Pr1 0.802 0.802 0.802
Br1 0.080 0.414 0.683
Br2 0.193 0.921 0.572
Br3 0.414 0.683 0.080
Br4 0.572 0.193 0.921
Br5 0.683 0.080 0.414
Br6 0.921 0.572 0.193

M_tot   0.00 Bohr magnetons per cell
Raw formation energy   -16.62 eV per formula unit
SG   R3 (146)
Theoretical density   3.56 g/cm3
Electronic total energy   -3.599 eV/atom

# NaLiPtBr6

NaLiPtBr6 after structural relaxation (GGA-PBE, the Alexandria database).

a = 6.576 Å, b = 6.576 Å, c = 12.063 Å
α = 90.00°, β = 90.00°, γ = 90.00°
Fractional positions:
Na1 0.000 0.000 0.000
Na2 0.500 0.500 0.500
Li1 0.000 0.000 0.662
Li2 0.500 0.500 0.162
Pt1 0.000 0.000 0.338
Pt2 0.500 0.500 0.838
Br1 0.180 0.180 0.494
Br2 0.189 0.189 0.189
Br3 0.230 0.230 0.832
Br4 0.270 0.730 0.332
Br5 0.311 0.689 0.689
Br6 0.320 0.680 0.994
Br7 0.680 0.320 0.994
Br8 0.689 0.311 0.689
Br9 0.730 0.270 0.332
Br10 0.770 0.770 0.832
Br11 0.811 0.811 0.189
Br12 0.820 0.820 0.494

M_tot   0.00 Bohr magnetons per cell
Raw formation energy   -6.89 eV per formula unit
SG   P4_2nm (102)
Theoretical density   4.49 g/cm3
Electronic total energy   -2.911 eV/atom

# Na2LiPuBr8

Na2LiPuBr8 after structural relaxation (GGA-PBE, the Alexandria database).

a = 6.613 Å, b = 8.761 Å, c = 6.996 Å
α = 90.00°, β = 95.94°, γ = 90.00°
Fractional positions:
Na1 0.000 0.226 0.000
Na2 0.000 0.774 0.000
Li1 0.500 0.000 0.500
Pu1 0.500 0.500 0.500
Br1 0.240 0.500 0.169
Br2 0.247 0.000 0.206
Br3 0.278 0.277 0.648
Br4 0.278 0.723 0.648
Br5 0.722 0.277 0.352
Br6 0.722 0.723 0.352
Br7 0.753 0.000 0.794
Br8 0.760 0.500 0.831

M_tot   2.93 Bohr magnetons per cell
Raw formation energy   -14.93 eV per formula unit
SG   P2/m (10)
Theoretical density   3.86 g/cm3
Electronic total energy   -3.933 eV/atom